VASP calculation (PBE) on an optimized crystal structure of BaCd4Pd.

The structure in POSCAR format:
```
BaCd4Pd
1.0
5.9494 0.0000 0.0000
2.9747 5.1523 0.0000
2.9747 1.7174 4.8577
Ba Pd Cd
1 1 4
direct
0.2500 0.2500 0.2500 Ba
0.0000 0.0000 0.0000 Pd
0.6266 0.6266 0.1201 Cd
0.6266 0.1201 0.6266 Cd
0.6266 0.6266 0.6266 Cd
0.1201 0.6266 0.6266 Cd
```

## Properties
- Energy above the lowest structure with this stoichiometry: 169 meV per atom
- Electronic total energy: -11.82 eV/cell
- DFT formation energy: -0.1746 eV per atom

***

VASP calculation (PBE) on an optimized crystal structure of Ta3Cu.

The structure in POSCAR format:
```
Ta3Cu
1.0
-1.7138 -3.9890 -0.0044
3.4193 -1.4712 2.2345
-1.6870 0.7215 3.0565
Cu Ta
1 3
direct
0.0000 0.0000 0.0000 Cu
0.0000 0.5000 0.5000 Ta
0.5000 0.0000 0.5000 Ta
0.5000 0.5000 0.0000 Ta
```

## Properties
- Electronic total energy: -39.18 eV/cell
- DFT formation energy: 0.1196 eV per atom

***

VASP calculation (PBE) on an optimized crystal structure of Na2Li2Tl7.

The structure in POSCAR format:
```
Na2Li2Tl7
1.0
6.3801 -0.0023 -1.4470
0.0032 8.3045 0.0041
-1.8417 -0.0018 6.2775
Na Li Tl
2 2 7
direct
0.7672 0.5000 0.7672 Na
0.2328 0.5000 0.2328 Na
0.7309 0.0000 0.2691 Li
0.2691 0.0000 0.7309 Li
0.0000 0.3007 0.5000 Tl
0.5000 0.6993 0.0000 Tl
0.0000 0.6993 0.5000 Tl
0.5000 0.3007 0.0000 Tl
0.0000 0.0000 0.0000 Tl
0.5000 0.8161 0.5000 Tl
0.5000 0.1839 0.5000 Tl
```

## Properties
- Energy above the lowest structure with this stoichiometry: 76 meV per atom
- Electronic total energy: -23.26 eV/cell
- DFT formation energy: -0.0209 eV per atom

***

VASP calculation (PBE) on an optimized crystal structure of TiAlGa4.

The structure in POSCAR format:
```
TiAlGa4
1.0
-3.7035 -0.8357 -3.6324
-0.9560 -4.5871 -2.3776
-4.2534 -0.3394 8.2983
Ti Al Ga
2 2 8
direct
0.2501 0.7499 0.2500 Ti
0.7499 0.2501 0.7500 Ti
0.5000 0.0000 0.5000 Al
0.0000 0.5000 0.0000 Al
0.4602 0.9604 0.7889 Ga
0.2113 0.7113 0.5400 Ga
0.7887 0.2887 0.4600 Ga
0.9604 0.4602 0.2889 Ga
0.0396 0.5398 0.7111 Ga
0.2887 0.7887 0.9600 Ga
0.7113 0.2113 0.0400 Ga
0.5398 0.0396 0.2111 Ga
```

## Properties
- Electronic total energy: -49.36 eV/cell
- DFT formation energy: -0.1556 eV per atom

***

- Which formula does entry 1 have?
  BaCd4Pd